MgSc3Pb PBE-GGA relaxed; calculated total energy = -4.4101 eV/atom; magnetic moment = 1.088 Bohr magnetons per cell; energy of formation from the pure elements = 43.36 kJ per mole of atoms; volume = 162.48 Å³ per cell; space group = Pm-3m (221); polymorph energy (0 for the lowest one) = 0.0 kJ per mole of atoms
1.0
-3.055 0.722 -4.463
4.423 -0.638 -3.131
-0.936 -5.371 -0.229
Pb Sc Mg
1 3 1
direct
0.000 0.000 0.000
0.000 0.500 0.000
0.000 0.000 0.500
0.500 0.000 0.000
0.500 0.500 0.500